No. 1
# Pm2SmHo2Er

An optimized crystal structure of Pm2SmHo2Er (PBE-GGA, Alexandria via LeMat-Bulk).

VASP energy   -52.7 eV per cell
Space-group type   Pnnm, No. 58
D(E_F)   1.63 states/eV/atom
Energy relative to the elements   0.2676 eV/atom

abc: 3.3851 6.5866 17.9827
angles: 90.00 90.00 90.00
Atoms (fractional coordinates):
Pm  0.5000  0.7301  0.6858
Pm  0.5000  0.2699  0.3142
Pm  0.0000  0.7699  0.1858
Pm  0.0000  0.2301  0.8142
Sm  0.0000  0.0000  0.5000
Sm  0.5000  0.5000  0.0000
Er  0.0000  0.0000  0.0000
Er  0.5000  0.5000  0.5000
Ho  0.5000  0.7711  0.3538
Ho  0.0000  0.7289  0.8538
Ho  0.5000  0.2289  0.6462
Ho  0.0000  0.2711  0.1462

=====

No. 2
# Sr2Fe

An optimized crystal structure of Sr2Fe (PBE-GGA, Alexandria via LeMat-Bulk).

VASP energy   -9.8 eV per cell
Space-group type   P-3m1, No. 164
D(E_F)   2.36 states/eV/atom
Energy relative to the elements   0.6650 eV/atom

abc: 4.1677 4.1677 7.6247
angles: 90.00 90.00 120.00
Last column: magnetic moment on the atom in μB.
Atoms (fractional coordinates):
Sr  0.3333  0.6667  0.2555  -0.07
Sr  0.6667  0.3333  0.7445  -0.07
Fe  0.0000  0.0000  0.0000  2.64

=====

No. 3
# KZr2Cu

An optimized crystal structure of KZr2Cu (PBE-GGA, Alexandria via LeMat-Bulk).

VASP energy   -20.6 eV per cell
Space-group type   P4/mmm, No. 123
D(E_F)   1.00 states/eV/atom
E above lowest polymorph   176 meV/atom
Energy relative to the elements   0.4133 eV/atom

abc: 3.0505 3.0505 10.7616
angles: 90.00 90.00 89.92
Atoms (fractional coordinates):
Zr  0.0000  0.0000  0.4212
Zr  0.0000  0.0000  0.0788
Cu  0.5000  0.5000  0.2500
K  0.5000  0.5000  0.7500

=====

No. 4
# Ce3YRu4

An optimized crystal structure of Ce3YRu4 (PBE-GGA, Alexandria via LeMat-Bulk).

VASP energy   -64.0 eV per cell
Space-group type   C2/m, No. 12
D(E_F)   0.71 states/eV/atom
Energy relative to the elements   -0.3307 eV/atom

abc: 4.8238 4.8193 8.6030
angles: 70.55 70.53 64.09
Atoms (fractional coordinates):
Ru  0.1003  0.1010  0.6249
Ru  0.4127  0.4124  0.8529
Ru  0.5873  0.5876  0.1471
Ru  0.8997  0.8990  0.3751
Ce  0.5000  0.5000  0.5000
Ce  0.7474  0.7476  0.7527
Ce  0.2526  0.2524  0.2473
Y  0.0000  0.0000  0.0000